Entry from Alexandria via LeMat-Bulk: a geometry-optimized NdErMgZn structure (GGA-PBE).

a b c (Å): 5.2492 5.2492 5.2492
angles (deg): 60.00 60.00 60.00
With the nearest neighbours (Å) after each atom.
Atoms (fractional coordinates):
Zn: 0.0000 0.0000 0.0000  4 Er 3.21, 4 Nd 3.21
Nd: 0.2500 0.2500 0.2500  4 Mg 3.21, 4 Zn 3.21
Mg: 0.5000 0.5000 0.5000  4 Nd 3.21, 4 Er 3.21
Er: 0.7500 0.7500 0.7500  4 Zn 3.21, 4 Mg 3.21

ΔH_f (0 K)   -0.687 eV/f.u.
Relative energy among the computed polymorphs   34 meV per atom
Total DFT energy (no corrections)   -3.2215 eV/atom
Volume   25.57 A^3/atom

Entry from Alexandria via LeMat-Bulk: a geometry-optimized Tb3Dy3Er4 structure (GGA-PBE).

a b c (Å): 3.6464 9.2984 9.2984
angles (deg): 90.02 90.00 90.00
With the nearest neighbours (Å) after each atom.
Atoms (fractional coordinates):
Tb: 0.5000 0.8268 0.1732  6 Er 3.22-3.35
Tb: 0.5000 0.3266 0.3268  6 Er 3.22-3.35
Tb: 0.5000 0.6732 0.6734  6 Er 3.22-3.35
Dy: 0.0000 0.4992 0.9996  4 Dy 3.65-3.88, 4 Er 3.67-3.69, 6 Tb 3.89-3.90
Dy: 0.0000 0.0004 0.5008  4 Dy 3.65-3.88, 4 Er 3.67-3.69, 6 Tb 3.89-3.90
Dy: 0.5000 0.1733 0.8267  6 Er 3.22-3.35
Er: 0.0000 0.6251 0.3749  6 Tb 3.22-3.35, 1 Er 3.29
Er: 0.0000 0.3748 0.6252  2 Dy 3.22, 1 Er 3.29, 4 Tb 3.35
Er: 0.0000 0.8753 0.8748  4 Tb 3.22-3.35, 1 Er 3.29, 2 Dy 3.35
Er: 0.0000 0.1252 0.1247  4 Tb 3.22-3.35, 1 Er 3.29, 2 Dy 3.35

ΔH_f (0 K)   0.915 eV/f.u.
Total DFT energy (no corrections)   -4.5033 eV/atom
Volume   31.53 A^3/atom

Entry from Alexandria via LeMat-Bulk: a geometry-optimized SmEu2Br structure (GGA-PBE).

a b c (Å): 3.8581 3.8581 11.0550
angles (deg): 79.95 79.95 60.00
With the nearest neighbours (Å) after each atom.
Atoms (fractional coordinates):
Eu: 0.7388 0.7388 0.7836  3 Br 3.23
Eu: 0.2612 0.2612 0.2164  3 Br 3.23
Br: 0.0000 0.0000 0.0000  6 Eu 3.23
Sm: 0.5000 0.5000 0.5000  6 Eu 3.79, 6 Sm 3.86

Uncorrected formation energy   -0.664 eV/atom
Relative energy among the computed polymorphs   0 meV per atom
Total DFT energy (no corrections)   -7.3993 eV/atom
Volume   34.90 A^3/atom

Entry from Alexandria via LeMat-Bulk: a geometry-optimized Si2GeN structure (GGA-PBE).

a b c (Å): 4.2501 4.2501 4.2501
angles (deg): 60.00 60.00 60.00
With the nearest neighbours (Å) after each atom.
Atoms (fractional coordinates):
Ge: 0.5000 0.5000 0.5000  8 Si 2.60
Si: 0.2500 0.2500 0.2500  4 Ge 2.60, 4 N 2.60
Si: 0.7500 0.7500 0.7500  4 Ge 2.60, 4 N 2.60
N: 0.0000 0.0000 0.0000  8 Si 2.60

Uncorrected formation energy   1.224 eV/atom
Relative energy among the computed polymorphs   1071 meV per atom
Total DFT energy (no corrections)   -4.7229 eV/atom
Volume   13.57 A^3/atom

Entry from Alexandria via LeMat-Bulk: a geometry-optimized Pr2PuAsN5 structure (GGA-PBE).

a b c (Å): 3.5545 7.3756 10.5043
angles (deg): 90.00 90.00 103.94
With the nearest neighbours (Å) after each atom.
Atoms (fractional coordinates):
Pr: 0.8651 0.7302 0.8234  7 N 2.57-2.79
Pr: 0.1110 0.2220 0.6826  6 N 2.55-2.70
Pr: 0.1349 0.2698 0.3234  7 N 2.57-2.79
Pr: 0.8890 0.7780 0.1826  6 N 2.55-2.70
Pu: 0.7989 0.5977 0.5266  3 N 2.06-2.27
Pu: 0.2011 0.4023 0.0266  3 N 2.06-2.27
As: 0.5440 0.0880 0.9388  4 N 1.82-1.98
As: 0.4560 0.9120 0.4388  4 N 1.82-1.98
N: 0.3445 0.6890 0.0084  1 Pu 2.06
N: 0.6750 0.3499 0.8817  1 As 1.97
N: 0.4911 0.9822 0.7817  1 As 1.82
N: 0.2883 0.5765 0.6602  2 Pu 2.27
N: 0.9647 0.9294 0.5207  2 As 1.98
N: 0.6555 0.3110 0.5084  1 Pu 2.06
N: 0.3250 0.6501 0.3817  1 As 1.97
N: 0.5089 0.0177 0.2817  1 As 1.82
N: 0.7117 0.4235 0.1602  2 Pu 2.27
N: 0.0353 0.0706 0.0207  2 As 1.98

Uncorrected formation energy   -0.736 eV/atom
Total DFT energy (no corrections)   -8.5327 eV/atom
Volume   14.85 A^3/atom

Entry from Alexandria via LeMat-Bulk: a geometry-optimized BaSnBi structure (GGA-PBE).

a b c (Å): 7.8714 7.8714 9.7044
angles (deg): 102.69 102.69 117.28
With the nearest neighbours (Å) after each atom.
Atoms (fractional coordinates):
Ba: 0.3068 0.3068 0.6135  4 Bi 3.54-3.74, 4 Sn 3.70-3.75
Ba: 0.6932 0.6932 0.3865  4 Bi 3.54-3.74, 4 Sn 3.70-3.75
Ba: 0.9432 0.4432 0.8865  4 Bi 3.54-3.74, 4 Sn 3.70-3.75
Ba: 0.5568 0.0568 0.1135  4 Bi 3.54-3.74, 4 Sn 3.70-3.75
Sn: 0.1250 0.8750 0.7500  2 Bi 3.16
Sn: 0.1250 0.3750 0.2500  2 Bi 3.16
Sn: 0.6250 0.8750 0.7500  2 Bi 3.16
Sn: 0.1250 0.8750 0.2500  2 Bi 3.16
Bi: 0.9391 0.4391 0.5000  1 Bi 3.10, 2 Sn 3.16
Bi: 0.6891 0.6891 0.0000  1 Bi 3.10, 2 Sn 3.16
Bi: 0.5609 0.0609 0.5000  1 Bi 3.10, 2 Sn 3.16
Bi: 0.3109 0.3109 0.0000  1 Bi 3.10, 2 Sn 3.16

ΔH_f (0 K)   -1.066 eV/f.u.
Relative energy among the computed polymorphs   230 meV per atom
Total DFT energy (no corrections)   -3.6242 eV/atom
Volume   40.37 A^3/atom

Entry from Alexandria via LeMat-Bulk: a geometry-optimized In2BiAuCl structure (GGA-PBE).

a b c (Å): 6.0429 5.3594 6.0429
angles (deg): 90.00 90.00 90.00
With the nearest neighbours (Å) after each atom.
Atoms (fractional coordinates):
Cl: 0.0000 0.5000 0.0000  2 Bi 2.68
Au: 0.5000 0.5000 0.5000  8 In 4.04, 4 Cl 4.27
Bi: 0.0000 0.0000 0.0000  2 Cl 2.68
In: 0.0000 0.0000 0.5000  2 Bi 3.02
In: 0.5000 0.0000 0.0000  2 Bi 3.02

Uncorrected formation energy   0.275 eV/atom
Total DFT energy (no corrections)   -2.6213 eV/atom
Volume   39.14 A^3/atom

Entry from Alexandria via LeMat-Bulk: a geometry-optimized YMo4Rh2 structure (GGA-PBE).

a b c (Å): 4.7689 4.7689 7.2459
angles (deg): 70.79 70.79 90.00
With the nearest neighbours (Å) after each atom.
Atoms (fractional coordinates):
Y: 0.0000 0.0000 0.0000  6 Mo 2.38-2.66
Mo: 0.7923 0.7923 0.4154  1 Rh 2.33
Mo: 0.2077 0.2077 0.5846  1 Rh 2.33
Mo: 0.0000 0.5000 0.0000  2 Y 2.38
Mo: 0.5000 0.0000 0.0000  2 Y 2.38
Rh: 0.6109 0.6109 0.7783  1 Mo 2.33
Rh: 0.3891 0.3891 0.2217  1 Mo 2.33

ΔH_f (0 K)   13.295 eV/f.u.
Total DFT energy (no corrections)   -7.3138 eV/atom
Volume   20.84 A^3/atom

Entry from Alexandria via LeMat-Bulk: a geometry-optimized TlIn2Rh structure (GGA-PBE).

a b c (Å): 5.3887 5.3887 5.3887
angles (deg): 131.62 131.62 70.82
With the nearest neighbours (Å) after each atom.
Atoms (fractional coordinates):
Tl: 0.7500 0.2500 0.5000  8 In 3.11-3.12, 4 Rh 3.11
In: 0.0000 0.0000 0.0000  4 Tl 3.11, 4 In 3.11, 4 Rh 3.12
In: 0.2500 0.7500 0.5000  4 In 3.11, 4 Rh 3.11, 4 Tl 3.12
Rh: 0.5000 0.5000 0.0000  4 Tl 3.11, 8 In 3.11-3.12

ΔH_f (0 K)   0.580 eV/f.u.
Relative energy among the computed polymorphs   282 meV per atom
Total DFT energy (no corrections)   -3.6535 eV/atom
Volume   21.41 A^3/atom

Entry from Alexandria via LeMat-Bulk: a geometry-optimized YRu2Au structure (GGA-PBE).

a b c (Å): 4.6468 4.6468 4.6468
angles (deg): 60.00 60.00 60.00
With the nearest neighbours (Å) after each atom.
Atoms (fractional coordinates):
Y: 0.0000 0.0000 0.0000  8 Ru 2.85
Ru: 0.2500 0.2500 0.2500  4 Au 2.85, 4 Y 2.85
Ru: 0.7500 0.7500 0.7500  4 Au 2.85, 4 Y 2.85
Au: 0.5000 0.5000 0.5000  8 Ru 2.85

ΔH_f (0 K)   0.732 eV/f.u.
Relative energy among the computed polymorphs   230 meV per atom
Total DFT energy (no corrections)   -6.8903 eV/atom
Volume   17.74 A^3/atom

Entry from Alexandria via LeMat-Bulk: a geometry-optimized SrAgAu structure (GGA-PBE).

a b c (Å): 5.7843 5.7845 3.8308
angles (deg): 70.66 70.67 38.67
With the nearest neighbours (Å) after each atom.
Atoms (fractional coordinates):
Ag: 0.9795 0.9795 0.0205  4 Au 3.02, 5 Sr 3.15-3.34
Au: 0.3496 0.3496 0.6504  4 Ag 3.02, 5 Sr 3.27-3.28
Sr: 0.6709 0.6709 0.3291  5 Ag 3.15-3.34, 5 Au 3.27-3.28

ΔH_f (0 K)   -1.237 eV/f.u.
Relative energy among the computed polymorphs   125 meV per atom
Total DFT energy (no corrections)   -3.0159 eV/atom
Volume   25.00 A^3/atom

Entry from Alexandria via LeMat-Bulk: a geometry-optimized K2InSb structure (GGA-PBE).

a b c (Å): 5.8653 5.8653 5.8653
angles (deg): 60.00 60.00 60.00
With the nearest neighbours (Å) after each atom.
Atoms (fractional coordinates):
Sb: 0.5000 0.5000 0.5000  8 K 3.59
K: 0.2500 0.2500 0.2500  4 In 3.59, 4 Sb 3.59
K: 0.7500 0.7500 0.7500  4 In 3.59, 4 Sb 3.59
In: 0.0000 0.0000 0.0000  8 K 3.59

Uncorrected formation energy   -0.179 eV/atom
Relative energy among the computed polymorphs   148 meV per atom
Total DFT energy (no corrections)   -2.4431 eV/atom
Volume   35.67 A^3/atom